1.
A plane-wave DFT calculation with PBE was carried out for a relaxed HfTlCr2Si crystal.

Values from the calculation:
Space-group type: P4/mmm (123)
Uncorrected formation energy (eV per formula unit): 6.6

a = 4.970 Å, b = 4.970 Å, c = 5.070 Å
α = 90.00°, β = 90.00°, γ = 90.00°
Fractional coordinates of all 5 atoms:
Hf 0.000 0.000 0.000
Tl 0.500 0.500 0.500
Cr 0.000 0.500 0.000
Cr 0.500 0.000 0.000
Si 0.000 0.000 0.500

***

2.
A plane-wave DFT calculation with PBE was carried out for a relaxed KLaTe crystal.

Values from the calculation:
Energy above the most stable polymorph in this dataset (eV per formula unit): 0.326
Space-group type: I4mm (107)
Uncorrected formation energy (eV per formula unit): -2.4

a = 8.245 Å, b = 8.245 Å, c = 8.245 Å
α = 151.24°, β = 151.24°, γ = 41.12°
Fractional coordinates of all 3 atoms:
K 0.000 0.000 0.000
La 0.262 0.262 0.000
Te 0.670 0.670 0.000

***

3.
A plane-wave DFT calculation with PBE was carried out for a relaxed Tb12ErTl3 crystal.

Values from the calculation:
ΔH_f (0 K) (eV per atom): -0.1311
Space-group type: P4/mmm (123)

a = 4.876 Å, b = 4.876 Å, c = 19.904 Å
α = 90.00°, β = 90.00°, γ = 90.00°
Fractional coordinates of all 16 atoms:
Tb 0.000 0.000 0.000
Tb 0.000 0.000 0.246
Tb 0.000 0.000 0.500
Tb 0.000 0.000 0.754
Tb 0.000 0.500 0.123
Tb 0.000 0.500 0.371
Tb 0.000 0.500 0.629
Tb 0.000 0.500 0.877
Tb 0.500 0.000 0.123
Tb 0.500 0.000 0.371
Tb 0.500 0.000 0.629
Tb 0.500 0.000 0.877
Er 0.500 0.500 0.500
Tl 0.500 0.500 0.000
Tl 0.500 0.500 0.244
Tl 0.500 0.500 0.756

***

4.
A plane-wave DFT calculation with PBE was carried out for a relaxed BaLiGa2Re crystal.

Values from the calculation:
ΔH_f (0 K) (eV per atom): 1.0623
Space-group type: P4/mmm (123)

a = 4.716 Å, b = 4.716 Å, c = 5.358 Å
α = 90.00°, β = 90.00°, γ = 90.00°
Fractional coordinates of all 5 atoms:
Ba 0.000 0.000 0.000
Li 0.000 0.000 0.500
Ga 0.000 0.500 0.500
Ga 0.500 0.000 0.500
Re 0.500 0.500 0.000

***

5.
A plane-wave DFT calculation with PBE was carried out for a relaxed ZrNClF2 crystal.

Values from the calculation:
Energy above the most stable polymorph in this dataset (eV per formula unit): 0.000
Space-group type: P4/mmm (123)
Uncorrected formation energy (eV per formula unit): -7.9

a = 4.180 Å, b = 4.180 Å, c = 4.427 Å
α = 90.00°, β = 90.00°, γ = 90.00°
Fractional coordinates of all 5 atoms:
Zr 0.000 0.000 0.000
N 0.000 0.000 0.500
Cl 0.500 0.500 0.500
F 0.000 0.500 0.000
F 0.500 0.000 0.000

***

6.
A plane-wave DFT calculation with PBE was carried out for a relaxed As2PtAu crystal.

Values from the calculation:
ΔH_f (0 K) (eV per atom): -0.0670
Energy above the most stable polymorph in this dataset (eV per formula unit): 0.000
Space-group type: R3m (160)

a = 7.040 Å, b = 7.040 Å, c = 7.040 Å
α = 30.23°, β = 30.23°, γ = 30.23°
Fractional coordinates of all 4 atoms:
As 0.000 0.000 0.000
As 0.224 0.224 0.224
Pt 0.496 0.496 0.496
Au 0.739 0.739 0.739

***

Copy entry 2 word for word.
A plane-wave DFT calculation with PBE was carried out for a relaxed KLaTe crystal.

Values from the calculation:
Energy above the most stable polymorph in this dataset (eV per formula unit): 0.326
Space-group type: I4mm (107)
Uncorrected formation energy (eV per formula unit): -2.4

a = 8.245 Å, b = 8.245 Å, c = 8.245 Å
α = 151.24°, β = 151.24°, γ = 41.12°
Fractional coordinates of all 3 atoms:
K 0.000 0.000 0.000
La 0.262 0.262 0.000
Te 0.670 0.670 0.000